No. 1
LiSm2ZnPt6: relaxed, PBE.

```
LiSm2ZnPt6
1.0
6.426 0.009 -0.002
0.010 6.426 -0.001
3.217 3.217 4.531
Li Sm Zn Pt
1 2 1 6
Cartesian
0.000 0.000 0.000
3.223 6.430 2.264
6.431 3.222 2.264
3.218 3.218 -0.002
1.539 4.897 -0.001
4.902 4.901 -0.002
3.217 3.217 2.372
8.114 4.755 4.529
4.751 4.751 4.530
6.436 6.435 2.156
```

The calculation puts the calculated formation energy at -429 meV per atom.



No. 2
HfGeBr2: relaxed, PBE.

```
HfGeBr2
1.0
9.581 0.000 0.000
0.000 9.581 0.000
4.790 4.790 2.673
Ge Hf Br
2 2 4
Cartesian
4.790 4.790 0.000
4.790 9.581 1.336
0.000 0.000 0.000
9.581 4.790 1.336
8.556 2.395 0.668
10.605 7.185 0.668
7.185 5.815 2.004
11.976 3.766 2.004
```

The calculation puts the energy relative to the elements, uncorrected at -227 meV per atom.



No. 3
RbSr2Cu: relaxed, PBE.

```
RbSr2Cu
1.0
-3.614 -1.305 -0.998
1.632 -3.130 -1.818
-0.537 -5.862 9.611
Sr Cu Rb
2 1 1
Cartesian
-0.451 -4.924 8.073
-0.086 -0.938 1.537
-0.991 -2.217 -1.408
-1.260 -5.148 3.398
```

The calculation puts the calculated formation energy at 90 meV per atom.



No. 4
HfAsCl3: relaxed, PBE.

```
HfAsCl3
1.0
5.135 0.000 0.000
0.000 5.135 0.000
0.000 0.000 5.135
As Hf Cl
1 1 3
Cartesian
0.000 0.000 0.000
2.568 2.568 2.568
0.000 2.568 0.000
0.000 0.000 2.568
2.568 0.000 0.000
```

The calculation puts the energy relative to the elements, uncorrected at 514 meV per atom.



No. 5
MnBe2As: relaxed, PBE.

```
MnBe2As
1.0
-3.030 0.354 0.136
-0.331 -3.004 0.444
0.279 0.642 4.550
Be As Mn
2 1 1
Cartesian
0.007 0.015 0.106
0.133 0.306 2.169
-1.471 -0.844 3.702
-1.611 -1.165 1.427
```

The calculation puts the calculated formation energy at 18 meV per atom.



No. 6
Ca2TaAs: relaxed, PBE.

```
Ca2TaAs
1.0
3.532 0.000 0.000
0.000 3.532 0.000
0.000 0.000 8.483
As Ca Ta
1 2 1
Cartesian
1.766 1.766 5.760
0.000 0.000 7.922
1.766 1.766 2.670
0.000 0.000 4.856
```

The calculation puts the calculated formation energy at -153 meV per atom.



No. 7
CaZnSe2: relaxed, PBE.

```
CaZnSe2
1.0
5.220 0.041 0.146
-0.005 5.220 0.146
0.906 0.914 3.596
Zn Ca Se
1 1 2
Cartesian
3.063 0.478 1.871
0.451 3.067 1.871
0.000 0.000 0.000
2.608 2.631 0.146
```

The calculation puts the energy relative to the elements, uncorrected at -814 meV per atom.